[1]
MgCd2Pt | PBE | relaxed

Unit cell a=6.679 b=6.679 c=6.679 alpha=90.00 beta=90.00 gamma=90.00
Space group F-43m (No. 216)
Symmetry-distinct sites (fractional):
Mg1 0.000 0.000 0.000
Cd1 0.000 0.000 0.500
Cd2 0.250 0.250 0.750
Pt1 0.250 0.250 0.250

Values from the calculation:
energy of formation from the pure elements = -334 meV/atom

[2]
Rb2MgTa | PBE | relaxed

Unit cell a=10.193 b=10.193 c=6.548 alpha=90.00 beta=90.00 gamma=90.00
Space group I-42d (No. 122)
Symmetry-distinct sites (fractional):
Rb1 0.249 0.250 0.125
Mg1 0.000 0.000 0.000
Ta1 0.000 0.000 0.500

Values from the calculation:
energy of formation from the pure elements = 1559 meV/atom

[3]
TbPm5Ir4 | PBE | relaxed

Unit cell a=15.017 b=4.838 c=7.012 alpha=90.00 beta=90.24 gamma=90.00
Space group C2/m (No. 12)
Symmetry-distinct sites (fractional):
Tb1 0.000 0.000 0.000
Pm1 0.000 0.000 0.500
Pm2 0.166 0.500 0.000
Pm3 0.166 0.500 0.501
Ir1 0.008 0.500 0.755
Ir2 0.164 0.000 0.250

Values from the calculation:
energy of formation from the pure elements = -631 meV/atom